*A*
Compound: TlAgPt
Source: Alexandria via LeMat-Bulk
Functional: GGA-PBE
Structure: optimized geometry

It has space group P1 (No. 1), with a = 3.031 Å, b = 4.414 Å, c = 4.896 Å, α = 116.74°, β = 97.95° and γ = 90.10°. Symmetry generates all atoms from Tl at (0.000, 0.000, 0.000), Ag at (0.377, 0.329, 0.657) and Pt at (0.770, 0.673, 0.345).

The crystal system is triclinic.


*B*
Compound: TlAgPt
Source: Alexandria via LeMat-Bulk
Functional: GGA-PBE
Structure: optimized geometry

It has space group Pmmm (No. 47), with a = 3.011 Å, b = 4.746 Å, c = 4.769 Å, α = 90.00°, β = 90.00° and γ = 90.00°. Symmetry generates all atoms from Tl at (0.000, 0.000, 0.000), Ag at (0.000, 0.500, 0.500) and Pt at (0.500, 0.500, 0.000).

The crystal system is orthorhombic.


*C*
Compound: TlAgPt
Source: Alexandria via LeMat-Bulk
Functional: GGA-PBE
Structure: optimized geometry

It has space group Imm2 (No. 44), with a = 3.021 Å, b = 4.810 Å, c = 8.147 Å, α = 90.00°, β = 90.00° and γ = 90.00°. Symmetry generates all atoms from Tl at (0.000, 0.000, 0.000), Ag at (0.000, 0.500, 0.814) and Pt at (0.000, 0.500, 0.191).

The crystal system is orthorhombic.


*D*
Compound: TlAgPt
Source: Alexandria via LeMat-Bulk
Functional: GGA-PBE
Structure: optimized geometry

It has space group F-43m (No. 216), with a = 6.459 Å, b = 6.459 Å, c = 6.459 Å, α = 90.00°, β = 90.00° and γ = 90.00°. Symmetry generates all atoms from Tl at (0.000, 0.000, 0.000), Ag at (0.000, 0.000, 0.500) and Pt at (0.250, 0.250, 0.250).

The crystal system is cubic.


We find *B* to be the most stable, with the next structure 1.7 kJ/mol of atoms higher.


*A*
Compound: TlAg2Pt2
Source: Alexandria via LeMat-Bulk
Functional: GGA-PBE
Structure: optimized geometry

It has space group I4/mmm (No. 139), with a = 3.880 Å, b = 3.880 Å, c = 13.280 Å, α = 90.00°, β = 90.00° and γ = 90.00°. Symmetry generates all atoms from Tl at (0.000, 0.000, 0.000), Ag at (0.000, 0.500, 0.250) and Pt at (0.000, 0.000, 0.402).

The crystal system is tetragonal.


*B*
Compound: TlAg2Pt2
Source: Alexandria via LeMat-Bulk
Functional: GGA-PBE
Structure: optimized geometry

It has space group P4/mbm (No. 127), with a = 6.995 Å, b = 6.995 Å, c = 3.983 Å, α = 90.00°, β = 90.00° and γ = 90.00°. Symmetry generates all atoms from Tl at (0.000, 0.000, 0.000), Ag at (0.161, 0.339, 0.500) and Pt at (0.134, 0.634, 0.000).

The crystal system is tetragonal.


We find *B* to be the most stable, with the next structure 15.2 kJ/mol of atoms higher.


*A*
Compound: Tl2Ag2Pt
Source: Alexandria via LeMat-Bulk
Functional: GGA-PBE
Structure: optimized geometry

It has space group P4/mbm (No. 127), with a = 7.356 Å, b = 7.356 Å, c = 4.130 Å, α = 90.00°, β = 90.00° and γ = 90.00°. Symmetry generates all atoms from Tl at (0.163, 0.337, 0.000), Ag at (0.139, 0.639, 0.500) and Pt at (0.000, 0.000, 0.000).

The crystal system is tetragonal.


*B*
Compound: Tl2Ag2Pt
Source: Alexandria via LeMat-Bulk
Functional: GGA-PBE
Structure: optimized geometry

It has space group P4/mbm (No. 127), with a = 7.097 Å, b = 7.097 Å, c = 4.477 Å, α = 90.00°, β = 90.00° and γ = 90.00°. Symmetry generates all atoms from Tl at (0.175, 0.325, 0.000), Ag at (0.139, 0.639, 0.500) and Pt at (0.000, 0.000, 0.500).

The crystal system is tetragonal.


We find *B* to be the most stable, with the next structure 3.5 kJ/mol of atoms higher.


*A*
Compound: TmAgPt
Source: Alexandria via LeMat-Bulk
Functional: GGA-PBE
Structure: optimized geometry

It has space group I4mm (No. 107), with a = 2.973 Å, b = 2.973 Å, c = 14.956 Å, α = 90.00°, β = 90.00° and γ = 90.00°. Symmetry generates all atoms from Tm at (0.000, 0.000, 0.000), Ag at (0.000, 0.000, 0.196) and Pt at (0.000, 0.000, 0.828).

The crystal system is tetragonal.


*B*
Compound: TmAgPt
Source: Alexandria via LeMat-Bulk
Functional: GGA-PBE
Structure: optimized geometry

It has space group F-43m (No. 216), with a = 6.526 Å, b = 6.526 Å, c = 6.526 Å, α = 90.00°, β = 90.00° and γ = 90.00°. Symmetry generates all atoms from Tm at (0.000, 0.000, 0.000), Ag at (0.000, 0.000, 0.500) and Pt at (0.250, 0.250, 0.250).

The crystal system is cubic.


We find *B* to be the most stable, with the next structure 86.9 kJ/mol of atoms higher.


*A*
Compound: Tm2Ag2Pt
Source: Alexandria via LeMat-Bulk
Functional: GGA-PBE
Structure: optimized geometry

It has space group Ibam (No. 72), with a = 6.506 Å, b = 12.431 Å, c = 5.589 Å, α = 90.00°, β = 90.00° and γ = 90.00°. Symmetry generates all atoms from Tm at (0.203, 0.162, 0.000), Ag at (0.145, 0.407, 0.000) and Pt at (0.000, 0.000, 0.250).

The crystal system is orthorhombic.


*B*
Compound: Tm2Ag2Pt
Source: Alexandria via LeMat-Bulk
Functional: GGA-PBE
Structure: optimized geometry

It has space group C2/m (No. 12), with a = 7.513 Å, b = 4.539 Å, c = 7.235 Å, α = 90.00°, β = 111.60° and γ = 90.00°. Symmetry generates all atoms from Tm at (0.094, 0.000, 0.301), Ag at (0.148, 0.500, 0.936) and Pt at (0.000, 0.500, 0.500).

The crystal system is monoclinic.


We find *B* to be the most stable, with the next structure 11.5 kJ/mol of atoms higher.


*A*
Compound: Tm3AgPt
Source: Alexandria via LeMat-Bulk
Functional: GGA-PBE
Structure: optimized geometry

It has space group Cmcm (No. 63), with a = 4.968 Å, b = 19.224 Å, c = 4.954 Å, α = 90.00°, β = 90.00° and γ = 90.00°. Symmetry generates all atoms from Tm at (0.000, 0.070, 0.250), Tm at (0.000, 0.250, 0.250), Tm at (0.000, 0.430, 0.250), Ag at (0.000, 0.158, 0.750) and Pt at (0.000, 0.340, 0.750).

The crystal system is orthorhombic.


*B*
Compound: Tm3AgPt
Source: Alexandria via LeMat-Bulk
Functional: GGA-PBE
Structure: optimized geometry

It has space group Pmmn (No. 59, origin choice 2), with a = 4.596 Å, b = 6.679 Å, c = 8.362 Å, α = 90.00°, β = 90.00° and γ = 90.00°. Symmetry generates all atoms from Tm at (0.250, 0.001, 0.161), Tm at (0.250, 0.250, 0.550), Ag at (0.250, 0.750, 0.677) and Pt at (0.250, 0.250, 0.886).

The crystal system is orthorhombic.


We find *A* to be the most stable, with the next structure 3.2 kJ/mol of atoms higher.


*A*
Compound: Tm4AgPt
Source: Alexandria via LeMat-Bulk
Functional: GGA-PBE
Structure: optimized geometry

It has space group P4/mmm (No. 123), with a = 4.853 Å, b = 4.853 Å, c = 6.964 Å, α = 90.00°, β = 90.00° and γ = 90.00°. Symmetry generates all atoms from Tm at (0.000, 0.500, 0.238), Ag at (0.000, 0.000, 0.500) and Pt at (0.500, 0.500, 0.000).

The crystal system is tetragonal.


*B*
Compound: Tm4AgPt
Source: Alexandria via LeMat-Bulk
Functional: GGA-PBE
Structure: optimized geometry

It has space group F-43m (No. 216), with a = 13.358 Å, b = 13.358 Å, c = 13.358 Å, α = 90.00°, β = 90.00° and γ = 90.00°. Symmetry generates all atoms from Tm at (0.000, 0.000, 0.185), Tm at (0.061, 0.250, 0.250), Tm at (0.107, 0.107, 0.607), Ag at (0.166, 0.166, 0.834) and Pt at (0.105, 0.105, 0.395).

The crystal system is cubic.


We find *B* to be the most stable, with the next structure 16.8 kJ/mol of atoms higher.


*A*
Compound: U2AgPt9
Source: Alexandria via LeMat-Bulk
Functional: GGA-PBE
Structure: optimized geometry

It has space group R-3m (No. 166, hexagonal axes), with a = 5.3704 Å, b = 5.3704 Å, c = 26.5385 Å, α = 90.00°, β = 90.00° and γ = 120.00°. Symmetry generates all atoms from U at (0.0000, 0.0000, 0.1383), Ag at (0.0000, 0.0000, 0.0000), Pt at (0.0000, 0.0000, 0.3323), Pt at (0.0000, 0.0000, 0.5000) and Pt at (0.0048, 0.5024, 0.9143).

The crystal system is trigonal.


*B*
Compound: U2AgPt9
Source: Alexandria via LeMat-Bulk
Functional: GGA-PBE
Structure: optimized geometry

It has space group P4/mmm (No. 123), with a = 4.143 Å, b = 4.143 Å, c = 12.080 Å, α = 90.00°, β = 90.00° and γ = 90.00°. Symmetry generates all atoms from U at (0.000, 0.000, 0.176), Ag at (0.000, 0.000, 0.500), Pt at (0.000, 0.500, 0.000), Pt at (0.000, 0.500, 0.334), Pt at (0.500, 0.500, 0.168) and Pt at (0.500, 0.500, 0.500).

The crystal system is tetragonal.


We find *B* to be the most stable, with the next structure 14.3 kJ/mol of atoms higher.


*A*
Compound: VAg2Pt
Source: Alexandria via LeMat-Bulk
Functional: GGA-PBE
Structure: optimized geometry

It has space group I-42d (No. 122), with a = 7.474 Å, b = 7.474 Å, c = 5.282 Å, α = 90.00°, β = 90.00° and γ = 90.00°. Symmetry generates all atoms from V at (0.000, 0.000, 0.000), Ag at (0.248, 0.250, 0.625) and Pt at (0.000, 0.000, 0.500).

The crystal system is tetragonal.


*B*
Compound: VAg2Pt
Source: Alexandria via LeMat-Bulk
Functional: GGA-PBE
Structure: optimized geometry

It has space group Fm-3m (No. 225), with a = 6.443 Å, b = 6.443 Å, c = 6.443 Å, α = 90.00°, β = 90.00° and γ = 90.00°. Symmetry generates all atoms from V at (0.000, 0.000, 0.000), Ag at (0.250, 0.250, 0.250) and Pt at (0.000, 0.000, 0.500).

The crystal system is cubic.


We find *B* to be the most stable, with the next structure 25.7 kJ/mol of atoms higher.


*A*
Compound: Ag3PtW
Source: Alexandria via LeMat-Bulk
Functional: GGA-PBE
Structure: optimized geometry

It has space group Pm-3m (No. 221), with a = 5.018 Å, b = 5.018 Å, c = 5.018 Å, α = 90.00°, β = 90.00° and γ = 90.00°. Symmetry generates all atoms from Ag at (0.000, 0.000, 0.500), Pt at (0.000, 0.000, 0.000) and W at (0.500, 0.500, 0.500).

The crystal system is cubic.


*B*
Compound: Ag3PtW
Source: Alexandria via LeMat-Bulk
Functional: GGA-PBE
Structure: optimized geometry

It has space group Pm-3m (No. 221), with a = 4.988 Å, b = 4.988 Å, c = 4.988 Å, α = 90.00°, β = 90.00° and γ = 90.00°. Symmetry generates all atoms from Ag at (0.000, 0.000, 0.500), Pt at (0.500, 0.500, 0.500) and W at (0.000, 0.000, 0.000).

The crystal system is cubic.


We find *A* to be the most stable, with the next structure 31.5 kJ/mol of atoms higher.


*A*
Compound: AgPtW
Source: Alexandria via LeMat-Bulk
Functional: GGA-PBE
Structure: optimized geometry

It has space group P4/nmm (No. 129, origin choice 2), with a = 2.822 Å, b = 2.822 Å, c = 12.386 Å, α = 90.00°, β = 90.00° and γ = 90.00°. Symmetry generates all atoms from Ag at (0.250, 0.250, 0.088), Pt at (0.250, 0.250, 0.736) and W at (0.250, 0.250, 0.413).

The crystal system is tetragonal.


*B*
Compound: AgPtW
Source: Alexandria via LeMat-Bulk
Functional: GGA-PBE
Structure: optimized geometry

It has space group F-43m (No. 216), with a = 6.149 Å, b = 6.149 Å, c = 6.149 Å, α = 90.00°, β = 90.00° and γ = 90.00°. Symmetry generates all atoms from Ag at (0.000, 0.000, 0.000), Pt at (0.000, 0.000, 0.500) and W at (0.250, 0.250, 0.250).

The crystal system is cubic.


We find *A* to be the most stable, with the next structure 90.5 kJ/mol of atoms higher.